Record 1
## NiSbOs2 (GGA-PBEsol)

Data for a relaxed structure of NiSbOs2.

Cell lengths 4.616, 4.616, 4.685 Å; angles 99.49, 99.49, 36.79 degrees
Fractional coordinates of all 4 atoms:
Ni1 0.000 0.000 0.000
Sb1 0.752 0.752 0.232
Os1 0.253 0.253 0.750
Os2 0.508 0.508 0.538

Output
Space-group type: Cm (8)
Mass density: 15.82 Mg/m³
E_form (uncorrected): 0.4212 eV/atom

***

Record 2
## MgScAs2 (GGA-PBEsol)

Data for a relaxed structure of MgScAs2.

Cell lengths 3.851, 3.851, 5.480 Å; angles 90.00, 90.00, 90.00 degrees
Fractional coordinates of all 4 atoms:
Mg1 0.000 0.000 0.000
Sc1 0.500 0.500 0.500
As1 0.000 0.000 0.500
As2 0.500 0.500 0.000

Output
Space-group type: P4/mmm (123)
Mass density: 4.48 Mg/m³
Energy of formation from the pure elements: -0.7964 eV/atom

***

> Look up the mass density of the first one.

15.82 Mg/m³

***

> Which of these has the lowest mass density?

MgScAs2

***

> The lowest mass density belongs to which entry?

MgScAs2